# 1
# LuGeB

A relaxed LuGeB crystal (GGA-PBE, the Open Quantum Materials Database).

Spin magnetization = 0.00 μB per formula unit

a = 6.078 Å, b = 6.078 Å, c = 6.078 Å
α = 90.00°, β = 90.00°, γ = 90.00°
Space group F-43m (No. 216)
Inequivalent atoms, fractional coordinates:
Lu (0.000, 0.000, 0.000)
Ge (0.250, 0.250, 0.750)
B (0.000, 0.000, 0.500)

***

# 2
# Lu3GeB

A relaxed Lu3GeB crystal (GGA-PBE, the Open Quantum Materials Database).

Spin magnetization = 0.00 μB per formula unit

a = 3.929 Å, b = 11.672 Å, c = 9.443 Å
α = 90.00°, β = 90.00°, γ = 90.00°
Space group Cmcm (No. 63)
Inequivalent atoms, fractional coordinates:
Lu (0.000, 0.076, 0.250)
Lu (0.000, 0.366, 0.054)
Ge (0.000, 0.236, 0.750)
B (0.000, 0.000, 0.000)

***

# 3
# Lu2GeB

A relaxed Lu2GeB crystal (GGA-PBE, the Open Quantum Materials Database).

Spin magnetization = 0.00 μB per formula unit

a = 3.5190 Å, b = 3.5190 Å, c = 15.2233 Å
α = 90.00°, β = 90.00°, γ = 120.00°
Space group P6_3/mmc (No. 194)
Inequivalent atoms, fractional coordinates:
Lu (0.3333, 0.6667, 0.1012)
Ge (0.3333, 0.6667, 0.7500)
B (0.0000, 0.0000, 0.0000)

***

# 4
# LuGe2B

A relaxed LuGe2B crystal (GGA-PBE, the Open Quantum Materials Database).

Spin magnetization = 0.00 μB per formula unit

a = 6.559 Å, b = 6.559 Å, c = 6.559 Å
α = 90.00°, β = 90.00°, γ = 90.00°
Space group F-43m (No. 216)
Inequivalent atoms, fractional coordinates:
Lu (0.000, 0.000, 0.000)
Ge (0.000, 0.000, 0.500)
Ge (0.250, 0.250, 0.250)
B (0.250, 0.250, 0.750)

***

# 5
# Lu3GeB2

A relaxed Lu3GeB2 crystal (GGA-PBE, the Open Quantum Materials Database).

Spin magnetization = 0.01 μB per formula unit

a = 3.4787 Å, b = 3.4787 Å, c = 22.1521 Å
α = 90.00°, β = 90.00°, γ = 120.00°
Space group P6_3/mmc (No. 194)
Inequivalent atoms, fractional coordinates:
Lu (0.0000, 0.0000, 0.0000)
Lu (0.3333, 0.6667, 0.1459)
Ge (0.0000, 0.0000, 0.2500)
B (0.3333, 0.6667, 0.5767)

***

# 6
# LuGeB

A relaxed LuGeB crystal (GGA-PBE, the Open Quantum Materials Database).

Spin magnetization = 0.00 μB per formula unit

a = 5.833 Å, b = 5.833 Å, c = 5.833 Å
α = 90.00°, β = 90.00°, γ = 90.00°
Space group F-43m (No. 216)
Inequivalent atoms, fractional coordinates:
Lu (0.000, 0.000, 0.000)
Ge (0.000, 0.000, 0.500)
B (0.250, 0.250, 0.750)

***

Raw total energy per entry: -4.579, -5.409, -5.326, -4.615, -5.345, -5.171 eV per atom